# NaTcIr3 | the Alexandria database | PBE | optimized geometry
# - Fermi-level density of states: 0.761 states/eV/atom
# - Crystal system: cubic
# - E_tot: -6.343 eV/atom
# - Energy relative to the lowest polymorph listed for this composition: 0 meV/atom
data_NaTcIr3
_chemical_formula_sum 'Na1 Tc1 Ir3'
_space_group_name_H-M_alt 'P m -3 m'
_space_group_IT_number 221
_space_group_name_Hall '-P 4 2 3'
_cell_length_a 4.7471
_cell_length_b 4.7471
_cell_length_c 4.7471
_cell_angle_alpha 90.00
_cell_angle_beta 90.00
_cell_angle_gamma 90.00
loop_
_atom_site_label
_atom_site_type_symbol
_atom_site_fract_x
_atom_site_fract_y
_atom_site_fract_z
_atom_site_occupancy
Na1 Na 0.0000 0.0000 0.0000 1
Tc1 Tc 0.5000 0.5000 0.5000 1
Ir1 Ir 0.0000 0.5000 0.5000 1